A plane-wave DFT calculation with PBE-GGA was carried out for crystalline TbGdHf at its relaxed geometry.

Lattice parameters (Å, degrees): 5.193 5.193 5.193 60.00 60.00 60.00
Fractional positions:
Gd 0.250 0.250 0.250
Hf 0.000 0.000 0.000
Tb 0.750 0.750 0.750

## Properties
* energy of formation from the pure elements: 0.8515 eV per atom
* symmetry: F-43m

---

A plane-wave DFT calculation with PBE-GGA was carried out for crystalline GdHfTh at its relaxed geometry.

Lattice parameters (Å, degrees): 5.181 5.181 5.181 60.00 60.00 60.00
Fractional positions:
Gd 0.250 0.250 0.250
Hf 0.000 0.000 0.000
Th 0.750 0.750 0.750

## Properties
* energy of formation from the pure elements: 0.7563 eV per atom
* symmetry: F-43m

---

A plane-wave DFT calculation with PBE-GGA was carried out for crystalline GdHfTl at its relaxed geometry.

Lattice parameters (Å, degrees): 4.979 4.979 4.979 60.00 60.00 60.00
Fractional positions:
Gd 0.250 0.250 0.250
Hf 0.750 0.750 0.750
Tl 0.000 0.000 0.000

## Properties
* symmetry: F-43m
* E_tot: -15.90 eV per cell

---

So what do the calculations give for ρ? Going down the list: 8295 9588 10277 kg/m³.